VASP calculation (GGA-PBE) on NaAuS after structural relaxation.

POSCAR file:
```
NaAuS
1.0
5.565 0.000 0.000
0.000 7.046 0.000
0.000 0.000 7.292
Na Au S
4 4 4
Cartesian
0.000 0.879 1.823
0.000 6.167 5.469
2.783 2.644 5.469
2.783 4.402 1.823
0.000 3.523 0.000
0.000 3.523 3.646
2.783 0.000 0.000
2.783 0.000 3.646
0.000 2.070 5.469
0.000 4.975 1.823
2.783 1.453 1.823
2.783 5.593 5.469
```

Summary:
Crystal system: orthorhombic
Volume in Å³ per cell: 285.9
Energy in eV/cell: -42.75